(1)
A plane-wave DFT calculation with GGA-PBE was carried out for LiHgPd2 after structural relaxation.

Values from the calculation:
Calculated total energy in eV/atom: -3.4472
Crystal system: hexagonal

POSCAR file:
```
LiHgPd2
1.0
4.3961 0.0000 0.0000
-2.1980 3.8071 0.0000
0.0000 0.0000 8.2750
Li Hg Pd
2 2 4
Direct
0.0000 0.0000 0.0000 Li
0.0000 0.0000 0.5000 Li
0.3333 0.6667 0.2500 Hg
0.6667 0.3333 0.7500 Hg
0.3333 0.6667 0.5845 Pd
0.3333 0.6667 0.9155 Pd
0.6667 0.3333 0.0845 Pd
0.6667 0.3333 0.4155 Pd
```


(2)
A plane-wave DFT calculation with GGA-PBE was carried out for Sr2ScTa after structural relaxation.

Values from the calculation:
Calculated total energy in eV/atom: -4.5307
Magnetic moment in μB/atom: 0.674
Crystal system: cubic

POSCAR file:
```
Sr2ScTa
1.0
0.0000 3.9010 3.9010
3.9010 0.0000 3.9010
3.9010 3.9010 0.0000
Sr Sc Ta
2 1 1
Direct
0.0000 0.0000 0.0000 Sr
0.2500 0.2500 0.2500 Sr
0.5000 0.5000 0.5000 Sc
0.7500 0.7500 0.7500 Ta
```


| no. | V (Å³ per cell) |
| --- | --- |
| 1 | 138.5 |
| 2 | 118.7 |